(1)
Here is an optimized crystal structure of Sr2ZrNpS6 from Alexandria via LeMat-Bulk. Energies are from PBE.

The formation energy without anion corrections comes out at -1.6909 eV per atom.

It has space group P2_1/c (No. 14), with a = 6.8750 Å, b = 7.3224 Å, c = 12.0965 Å, α = 90.00°, β = 124.25° and γ = 90.00°. Symmetry generates all atoms from Sr at (0.2233, 0.0797, 0.2490), Zr at (0.0000, 0.0000, 0.5000), Np at (0.5000, 0.0000, 0.0000), S at (0.1332, 0.2011, 0.9450), S at (0.2501, 0.6921, 0.9461) and S at (0.3494, 0.0275, 0.7448).

---

(2)
Here is an optimized crystal structure of SiPAu2 from Alexandria via LeMat-Bulk. Energies are from PBE.

The formation energy without anion corrections comes out at 0.3973 eV per atom.

It has space group C2/m (No. 12), with a = 5.4895 Å, b = 9.9006 Å, c = 2.8715 Å, α = 90.00°, β = 117.61° and γ = 90.00°. Symmetry generates all atoms from Si at (0.0000, 0.0000, 0.0000), P at (0.0000, 0.5000, 0.0000) and Au at (0.2500, 0.2500, 0.0000).

---

(3)
Here is an optimized crystal structure of ZrSc4O from Alexandria via LeMat-Bulk. Energies are from PBE.

The formation energy without anion corrections comes out at -0.9885 eV per atom.

It has space group C2/c (No. 15), with a = 14.3114 Å, b = 5.6915 Å, c = 6.0623 Å, α = 90.00°, β = 104.77° and γ = 90.00°. Symmetry generates all atoms from Zr at (0.0000, 0.1013, 0.2500), Sc at (0.1000, 0.4031, 0.9411), Sc at (0.2026, 0.0682, 0.6558) and O at (0.2500, 0.2500, 0.0000).

---

(4)
Here is an optimized crystal structure of NaCaPmI6 from Alexandria via LeMat-Bulk. Energies are from PBE.

The formation energy without anion corrections comes out at -1.4335 eV per atom.

It has space group P-31c (No. 163), with a = 7.9227 Å, b = 7.9227 Å, c = 14.5180 Å, α = 90.00°, β = 90.00° and γ = 120.00°. Symmetry generates all atoms from Na at (0.0000, 0.0000, 0.0000), Ca at (0.3333, 0.6667, 0.2500), Pm at (0.3333, 0.6667, 0.7500) and I at (0.0035, 0.3514, 0.6273).

---

(5)
Here is an optimized crystal structure of LaTi6S8 from Alexandria via LeMat-Bulk. Energies are from PBE.

The formation energy without anion corrections comes out at -1.4078 eV per atom.

It has space group R-3 (No. 148, hexagonal axes), with a = 9.3117 Å, b = 9.3117 Å, c = 11.6171 Å, α = 90.00°, β = 90.00° and γ = 120.00°. Symmetry generates all atoms from La at (0.0000, 0.0000, 0.0000), Ti at (0.0222, 0.1978, 0.3947), S at (0.0000, 0.0000, 0.2500) and S at (0.0130, 0.3826, 0.2518).

---

(6)
Here is an optimized crystal structure of SrMgHg2 from Alexandria via LeMat-Bulk. Energies are from PBE.

The calculation puts the total energy at -0.047 hartree per atom.

It has space group Pm (No. 6), with a = 4.1048 Å, b = 4.7268 Å, c = 6.2776 Å, α = 90.00°, β = 108.92° and γ = 90.00°. Symmetry generates all atoms from Sr at (0.0000, 0.0000, 0.0000), Mg at (0.2871, 0.5000, 0.5772), Hg at (0.5749, 0.5000, 0.1501) and Hg at (0.7304, 0.0000, 0.4691).

---

(7)
Here is an optimized crystal structure of Sr2SnN from Alexandria via LeMat-Bulk. Energies are from PBE.

The formation energy without anion corrections comes out at -0.2217 eV per atom.

It has space group I-42d (No. 122), with a = 7.5930 Å, b = 7.5930 Å, c = 8.5394 Å, α = 90.00°, β = 90.00° and γ = 90.00°. Symmetry generates all atoms from Sr at (0.1453, 0.2500, 0.1250), Sn at (0.0000, 0.0000, 0.5000) and N at (0.0000, 0.0000, 0.0000).

---

(8)
Here is an optimized crystal structure of Ho2Zn5Pt3 from Alexandria via LeMat-Bulk. Energies are from PBE.

The calculation puts the total energy at -0.150 hartree per atom.

It has space group Cmc2_1 (No. 36), with a = 4.2632 Å, b = 24.6650 Å, c = 6.9174 Å, α = 90.00°, β = 90.00° and γ = 90.00°. Symmetry generates all atoms from Ho at (0.0000, 0.0223, 0.0000), Ho at (0.0000, 0.3224, 0.9244), Zn at (0.0000, 0.1038, 0.6400), Zn at (0.0000, 0.2042, 0.1004), Zn at (0.0000, 0.2066, 0.7191), Zn at (0.0000, 0.3722, 0.4760), Zn at (0.0000, 0.4462, 0.8258), Pt at (0.0000, 0.1105, 0.2565), Pt at (0.0000, 0.2658, 0.4067) and Pt at (0.0000, 0.4527, 0.2149).

---

(9)
Here is an optimized crystal structure of ThTcGe2 from Alexandria via LeMat-Bulk. Energies are from PBE.

The calculation puts the total energy at -0.210 hartree per atom.

It has space group R-3m (No. 166, hexagonal axes), with a = 4.9125 Å, b = 4.9125 Å, c = 19.0603 Å, α = 90.00°, β = 90.00° and γ = 120.00°. Symmetry generates all atoms from Th at (0.0000, 0.0000, 0.0000), Tc at (0.0000, 0.0000, 0.5000) and Ge at (0.0000, 0.0000, 0.3743).

---

(10)
Here is an optimized crystal structure of AcIrPb from Alexandria via LeMat-Bulk. Energies are from PBE.

The calculation puts the total energy at -0.216 hartree per atom.

It has space group P-6m2 (No. 187), with a = 4.7838 Å, b = 4.7838 Å, c = 4.2019 Å, α = 90.00°, β = 90.00° and γ = 120.00°. Symmetry generates all atoms from Ac at (0.0000, 0.0000, 0.0000), Ir at (0.6667, 0.3333, 0.5000) and Pb at (0.3333, 0.6667, 0.5000).

---

(11)
Here is an optimized crystal structure of CdAsRuBr2 from Alexandria via LeMat-Bulk. Energies are from PBE.

The formation energy without anion corrections comes out at 1.0600 eV per atom.

It has space group P4/mmm (No. 123), with a = 5.4387 Å, b = 5.4387 Å, c = 5.2985 Å, α = 90.00°, β = 90.00° and γ = 90.00°. Symmetry generates all atoms from Cd at (0.0000, 0.0000, 0.0000), As at (0.0000, 0.0000, 0.5000), Ru at (0.5000, 0.5000, 0.5000) and Br at (0.0000, 0.5000, 0.0000).

---

(12)
Here is an optimized crystal structure of PrY3F from Alexandria via LeMat-Bulk. Energies are from PBE.

The formation energy without anion corrections comes out at -0.9156 eV per atom.

It has space group Pm-3m (No. 221), with a = 5.1144 Å, b = 5.1144 Å, c = 5.1144 Å, α = 90.00°, β = 90.00° and γ = 90.00°. Symmetry generates all atoms from Pr at (0.0000, 0.0000, 0.0000), Y at (0.0000, 0.5000, 0.5000) and F at (0.5000, 0.5000, 0.5000).